1.
Here is a geometry-optimized NbCoAg structure from the Open Quantum Materials Database. Energies are from PBE-GGA.

Its energy relative to the elements is 0.530 eV/atom. The size of the total moment comes out at 0.23 μB/f.u. The value obtained for the distance to the lowest polymorph of the same formula is 0.000 eV per atom.

The space group is F-43m (No. 216) and the conventional cell measures 5.908, 5.908 and 5.908 Å, with angles of 90.00, 90.00 and 90.00 degrees. The asymmetric unit holds Nb at (0.000, 0.000, 0.000), Co at (0.250, 0.250, 0.750) and Ag at (0.000, 0.000, 0.500).

***

2.
Here is a geometry-optimized NbCo2Ag structure from the Open Quantum Materials Database. Energies are from PBE-GGA.

Its energy relative to the elements is 0.425 eV/atom. The size of the total moment comes out at 2.95 μB/f.u.

The space group is F-43m (No. 216) and the conventional cell measures 6.136, 6.136 and 6.136 Å, with angles of 90.00, 90.00 and 90.00 degrees. The asymmetric unit holds Nb at (0.000, 0.000, 0.000), Co at (0.000, 0.000, 0.500), Co at (0.250, 0.250, 0.750) and Ag at (0.250, 0.250, 0.250).

***

3.
Here is a geometry-optimized NbCoAg2 structure from the Open Quantum Materials Database. Energies are from PBE-GGA.

Its energy relative to the elements is 0.379 eV/atom. The size of the total moment comes out at 1.40 μB/f.u.

The space group is F-43m (No. 216) and the conventional cell measures 6.343, 6.343 and 6.343 Å, with angles of 90.00, 90.00 and 90.00 degrees. The asymmetric unit holds Nb at (0.000, 0.000, 0.000), Co at (0.250, 0.250, 0.250), Ag at (0.000, 0.000, 0.500) and Ag at (0.250, 0.250, 0.750).

***

Repeat the third record exactly.
Here is a geometry-optimized NbCoAg2 structure from the Open Quantum Materials Database. Energies are from PBE-GGA.

Its energy relative to the elements is 0.379 eV/atom. The size of the total moment comes out at 1.40 μB/f.u.

The space group is F-43m (No. 216) and the conventional cell measures 6.343, 6.343 and 6.343 Å, with angles of 90.00, 90.00 and 90.00 degrees. The asymmetric unit holds Nb at (0.000, 0.000, 0.000), Co at (0.250, 0.250, 0.250), Ag at (0.000, 0.000, 0.500) and Ag at (0.250, 0.250, 0.750).

***

Q: What is the formula in the second record?
A: NbCo2Ag

***

Q: Among the records above, which one has the lowest energy relative to the elements?
A: NbCoAg2